Density functional theory data (PBE-GGA) for a geometry-optimized Lu2PdPt structure.

The structure in CIF format:
```
data_Lu2PdPt
_chemical_formula_sum 'Lu2 Pd1 Pt1'
_symmetry_space_group_name_H-M 'P 4/m m m'
_symmetry_Int_Tables_number 123
_symmetry_space_group_name_Hall '-P 4 2'
_cell_length_a 4.853
_cell_length_b 4.853
_cell_length_c 3.419
_cell_angle_alpha 90.00
_cell_angle_beta 90.00
_cell_angle_gamma 90.00
loop_
_atom_site_label
_atom_site_type_symbol
_atom_site_fract_x
_atom_site_fract_y
_atom_site_fract_z
Lu1 Lu 0.000 0.500 0.000
Pd1 Pd 0.000 0.000 0.500
Pt1 Pt 0.500 0.500 0.500
```

calculated total energy: -24.89 eV for the cell shown
total moment: 0.00 μB per cell